# KMoPCl2 (PBE-GGA, relaxed)
# **Total magnetic moment**: 1.99 Bohr magnetons per cell
# **Fermi-level density of states**: 0.16 states/eV/cell
# **Formation energy (no corrections)**: 4.80 eV/f.u.
# **ρ**: 2.19 g cm⁻³
data_KMoPCl2
_space_group_name_H-M_alt 'P 4/m m m'
_space_group_IT_number 123
_space_group_name_Hall '-P 4 2'
_cell_length_a 5.552
_cell_length_b 5.552
_cell_length_c 5.835
_cell_angle_alpha 90.00
_cell_angle_beta 90.00
_cell_angle_gamma 90.00
loop_
_atom_site_label
_atom_site_type_symbol
_atom_site_fract_x
_atom_site_fract_y
_atom_site_fract_z
K1 K 0.000 0.000 0.000
Mo1 Mo 0.500 0.500 0.500
P1 P 0.000 0.000 0.500
Cl1 Cl 0.000 0.500 0.000